[1]
The following is a DFT calculation (GGA-PBE) of a relaxed BaSr2La crystal.

Lattice parameters (Å, degrees): 13.8606 13.8606 13.8606 17.07 17.07 17.07
Closest atoms and distances in Å follow each position.
Positions (direct):
1 Sr 0.0041 0.0041 0.0041  3 La 3.99, 9 Sr 4.11-4.25
2 Ba 0.4958 0.4958 0.4958  3 La 4.06, 6 Ba 4.11, 3 Sr 4.34
3 Sr 0.2512 0.2512 0.2512  9 Sr 4.11-4.25, 3 Ba 4.34
4 La 0.7489 0.7489 0.7489  3 Sr 3.99, 3 Ba 4.06, 6 La 4.11

E_form (meV per atom): 109.2
DFT total energy (eV per atom): -2.444
Magnetic moment (μB per cell): 0.0
Symmetry: R3m (160)
Theoretical density (g/cm³): 3.75
Excess energy over the best structure of this formula in the dataset (kJ/mol of atoms): 0.2

=====

[2]
The following is a DFT calculation (GGA-PBE) of a relaxed BaSr2La crystal.

Lattice parameters (Å, degrees): 4.0938 4.0938 12.0062 90.00 90.00 90.00
Closest atoms and distances in Å follow each position.
Positions (direct):
1 Ba 0.0000 0.0000 0.5176  4 La 4.06, 4 Ba 4.09, 4 Sr 4.38
2 Sr 0.0000 0.0000 0.9831  4 La 3.99, 8 Sr 4.09-4.27
3 Sr 0.5000 0.5000 0.2444  8 Sr 4.09-4.27, 4 Ba 4.38
4 La 0.5000 0.5000 0.7548  4 Sr 3.99, 4 Ba 4.06, 4 La 4.09

E_form (meV per atom): 107.1
DFT total energy (eV per atom): -2.446
Magnetic moment (μB per cell): 0.0
Symmetry: P4mm (99)
Theoretical density (g/cm³): 3.73
Excess energy over the best structure of this formula in the dataset (kJ/mol of atoms): 0.0

=====

[3]
The following is a DFT calculation (GGA-PBE) of a relaxed BaSrLa crystal.

Lattice parameters (Å, degrees): 9.1764 9.1764 9.1764 42.04 42.04 42.04
Closest atoms and distances in Å follow each position.
Positions (direct):
1 La 0.7112 0.7112 0.7112  1 Sr 3.52
2 Sr 0.4291 0.4291 0.4291  1 La 3.52, 1 Sr 3.55, 3 Ba 3.84
3 Ba 0.8816 0.8816 0.8816  3 Sr 3.84, 4 La 4.23-4.27
4 La 0.2888 0.2888 0.2888  1 Sr 3.52
5 Ba 0.1184 0.1184 0.1184  3 Sr 3.84, 4 La 4.23-4.27
6 Sr 0.5709 0.5709 0.5709  1 La 3.52, 1 Sr 3.55, 3 Ba 3.84

E_form (meV per atom): 429.6
DFT total energy (eV per atom): -2.414
Magnetic moment (μB per cell): 0.0
Symmetry: R-3m (166)
Theoretical density (g/cm³): 3.85
Excess energy over the best structure of this formula in the dataset (kJ/mol of atoms): 29.6

=====

[4]
The following is a DFT calculation (GGA-PBE) of a relaxed BaSr2La crystal.

Lattice parameters (Å, degrees): 4.5598 6.5697 6.6385 90.00 90.00 90.00
Closest atoms and distances in Å follow each position.
Positions (direct):
1 Sr 0.5000 0.5000 0.0000  4 Sr 4.00, 4 La 4.03
2 Sr 0.0000 0.0000 0.0000  4 Sr 4.00, 4 Ba 4.03
3 La 0.0000 0.5000 0.5000  4 Ba 4.00, 4 Sr 4.03
4 Ba 0.5000 0.0000 0.5000  4 La 4.00, 4 Sr 4.03

E_form (meV per atom): 141.9
DFT total energy (eV per atom): -2.412
Magnetic moment (μB per cell): 0.0
Symmetry: Pmmm (47)
Theoretical density (g/cm³): 3.77
Excess energy over the best structure of this formula in the dataset (kJ/mol of atoms): 3.4

=====

[5]
The following is a DFT calculation (GGA-PBE) of a relaxed BaSr2La crystal.

Lattice parameters (Å, degrees): 7.1612 7.1612 7.1612 131.37 131.37 71.23
Closest atoms and distances in Å follow each position.
Positions (direct):
1 Ba 0.5000 0.5000 0.0000  4 La 4.14, 8 Sr 4.14-4.17
2 Sr 0.0000 0.0000 0.0000  4 Sr 4.14, 4 La 4.14, 4 Ba 4.17
3 La 0.7500 0.2500 0.5000  4 Ba 4.14, 8 Sr 4.14-4.17
4 Sr 0.2500 0.7500 0.5000  4 Sr 4.14, 4 Ba 4.14, 4 La 4.17

E_form (meV per atom): 175.2
DFT total energy (eV per atom): -2.378
Magnetic moment (μB per cell): 1.1
Symmetry: I-4m2 (119)
Theoretical density (g/cm³): 3.70
Excess energy over the best structure of this formula in the dataset (kJ/mol of atoms): 6.6

=====

[6]
The following is a DFT calculation (GGA-PBE) of a relaxed Ba2Sr2La crystal.

Lattice parameters (Å, degrees): 10.5402 10.5402 4.6920 90.00 90.00 90.00
Closest atoms and distances in Å follow each position.
Positions (direct):
1 La 0.5000 0.5000 0.0000  4 Ba 4.10, 8 Sr 4.57
2 Ba 0.8652 0.6348 0.0000  6 Sr 3.76-3.98, 1 Ba 4.02, 2 La 4.10
3 Sr 0.3317 0.1683 0.5000  6 Ba 3.76-3.98
4 Ba 0.1348 0.3652 0.0000  6 Sr 3.76-3.98, 1 Ba 4.02, 2 La 4.10
5 Sr 0.6683 0.8317 0.5000  6 Ba 3.76-3.98
6 Ba 0.6348 0.1348 0.0000  6 Sr 3.76-3.98, 1 Ba 4.02, 2 La 4.10
7 Ba 0.3652 0.8652 0.0000  6 Sr 3.76-3.98, 1 Ba 4.02, 2 La 4.10
8 La 0.0000 0.0000 0.0000  4 Ba 4.10, 8 Sr 4.57
9 Sr 0.1683 0.6683 0.5000  6 Ba 3.76-3.98
10 Sr 0.8317 0.3317 0.5000  6 Ba 3.76-3.98

E_form (meV per atom): 268.3
DFT total energy (eV per atom): -2.159
Magnetic moment (μB per cell): 0.0
Symmetry: P4/mbm (127)
Theoretical density (g/cm³): 3.75
Excess energy over the best structure of this formula in the dataset (kJ/mol of atoms): 0.0